Sc8Cu2Re: relaxed, PBE.

The value obtained for the spin magnetization is 0.0000 μB/atom. As for the calculated total energy: -6.53 eV per atom. The value obtained for the volume is 20.39 A^3/atom. As for the crystal system: orthorhombic. For the formation energy, the calculation gives -0.0537 eV/atom.

The structure belongs to space group Immm (No. 71); the cell edges are 4.7642, 7.7431 and 12.1617 Å and the angles 90.00°, 90.00° and 90.00°. Symmetry generates all atoms from Sc at (0.0000, 0.0000, 0.1280), Sc at (0.0000, 0.2243, 0.3472), Sc at (0.0000, 0.3310, 0.0000), Cu at (0.0000, 0.5000, 0.2054) and Re at (0.0000, 0.5000, 0.5000).